DFT (PBE-GGA) results for a relaxed VAg2Au crystal.

Cell lengths 5.998, 5.998, 5.998 Å; angles 102.12, 102.12, 125.46 degrees
Element x y z (fractional)
V  0.000  0.000  0.000
V  0.750  0.250  0.500
Ag  0.125  0.625  0.000
Ag  0.375  0.375  0.500
Ag  0.625  0.125  0.000
Ag  0.875  0.875  0.500
Au  0.250  0.750  0.500
Au  0.500  0.500  0.000

The calculation puts the formation energy at 2.247 eV/f.u. The value obtained for the excess energy over the best structure of this formula in the dataset is 264 meV/atom.

DFT (PBE-GGA) results for a relaxed ErNp3 crystal.

Cell lengths 5.559, 5.559, 5.559 Å; angles 131.71, 131.71, 70.68 degrees
Element x y z (fractional)
Er  0.000  0.000  0.000
Np  0.250  0.750  0.500
Np  0.500  0.500  0.000
Np  0.750  0.250  0.500

The calculation puts the formation energy at 2.803 eV/f.u. The value obtained for the excess energy over the best structure of this formula in the dataset is 0 meV/atom.

DFT (PBE-GGA) results for a relaxed CrMo3 crystal.

Cell lengths 5.368, 5.368, 4.385 Å; angles 90.00, 90.00, 109.49 degrees
Element x y z (fractional)
Cr  0.122  0.878  0.750
Cr  0.878  0.122  0.250
Mo  0.121  0.369  0.750
Mo  0.369  0.121  0.250
Mo  0.373  0.627  0.250
Mo  0.627  0.373  0.750
Mo  0.631  0.879  0.750
Mo  0.879  0.631  0.250

The calculation puts the formation energy at 0.193 eV/f.u.

DFT (PBE-GGA) results for a relaxed DyGa2Sn2 crystal.

Cell lengths 10.800, 10.800, 4.653 Å; angles 90.00, 90.00, 155.04 degrees
Element x y z (fractional)
Dy  0.135  0.865  0.750
Dy  0.865  0.135  0.250
Ga  0.031  0.969  0.250
Ga  0.463  0.537  0.250
Ga  0.537  0.463  0.750
Ga  0.969  0.031  0.750
Sn  0.249  0.751  0.250
Sn  0.374  0.626  0.750
Sn  0.626  0.374  0.250
Sn  0.751  0.249  0.750

The calculation puts the formation energy at -1.648 eV/f.u.

DFT (PBE-GGA) results for a relaxed K2Np2CrSe6 crystal.

Cell lengths 6.977, 6.977, 8.202 Å; angles 98.43, 98.43, 119.42 degrees
Element x y z (fractional)
K  0.170  0.830  0.000
K  0.830  0.170  0.000
Np  0.333  0.667  0.500
Np  0.667  0.333  0.500
Cr  0.000  0.000  0.500
Se  0.068  0.381  0.694
Se  0.244  0.244  0.308
Se  0.381  0.068  0.694
Se  0.619  0.932  0.306
Se  0.756  0.756  0.692
Se  0.932  0.619  0.306

The raw formation energy comes out at -1066 meV per atom.

DFT (PBE-GGA) results for a relaxed LaSb2Mo crystal.

Cell lengths 5.003, 5.003, 4.108 Å; angles 90.00, 90.00, 100.28 degrees
Element x y z (fractional)
La  0.000  0.000  0.000
Sb  0.000  0.500  0.500
Sb  0.500  0.000  0.500
Mo  0.500  0.500  0.000

The raw formation energy comes out at -9 meV per atom. The value obtained for the excess energy over the best structure of this formula in the dataset is 285 meV/atom.

What did the second record say?
DFT (PBE-GGA) results for a relaxed ErNp3 crystal.

Cell lengths 5.559, 5.559, 5.559 Å; angles 131.71, 131.71, 70.68 degrees
Element x y z (fractional)
Er  0.000  0.000  0.000
Np  0.250  0.750  0.500
Np  0.500  0.500  0.000
Np  0.750  0.250  0.500

The calculation puts the formation energy at 2.803 eV/f.u. The value obtained for the excess energy over the best structure of this formula in the dataset is 0 meV/atom.

> Number 6 is which compound?

LaSb2Mo